# Sc3Si2Ni4Sn2 PBE relaxed
data_Sc3Si2Ni4Sn2
_chemical_formula_sum 'Sc6 Si4 Ni8 Sn4'
_symmetry_space_group_name_H-M 'I m m m'
_symmetry_Int_Tables_number 71
_symmetry_space_group_name_Hall '-I 2 2'
_cell_length_a 3.9406
_cell_length_b 6.7368
_cell_length_c 13.3315
_cell_angle_alpha 90.00
_cell_angle_beta 90.00
_cell_angle_gamma 90.00
loop_
_atom_site_label
_atom_site_type_symbol
_atom_site_fract_x
_atom_site_fract_y
_atom_site_fract_z
Sc1 Sc 0.0000 0.0000 0.0000
Sc2 Sc 0.0000 0.5000 0.1342
Si1 Si 0.0000 0.0000 0.2186
Ni1 Ni 0.0000 0.3052 0.3115
Sn1 Sn 0.0000 0.2070 0.5000
# - calculated density (g/cm³) = 6.22
# - total DFT energy (no corrections) (eV/atom) = -6.1414
# - size of the total moment (μB per atom) = 0.000

# SbOs PBE relaxed
data_SbOs
_chemical_formula_sum 'Sb4 Os4'
_symmetry_space_group_name_H-M 'P m m a'
_symmetry_Int_Tables_number 51
_symmetry_space_group_name_Hall '-P 2a 2a'
_cell_length_a 5.2730
_cell_length_b 4.0870
_cell_length_c 7.7616
_cell_angle_alpha 90.00
_cell_angle_beta 90.00
_cell_angle_gamma 90.00
loop_
_atom_site_label
_atom_site_type_symbol
_atom_site_fract_x
_atom_site_fract_y
_atom_site_fract_z
Sb1 Sb 0.2500 0.0000 0.0955
Sb2 Sb 0.2500 0.5000 0.6913
Os1 Os 0.0000 0.0000 0.5000
Os2 Os 0.2500 0.5000 0.3185
# - calculated density (g/cm³) = 12.39
# - total DFT energy (no corrections) (eV/atom) = -7.2667
# - size of the total moment (μB per atom) = 0.089